First-principles (SCAN) data for CsGe3F at its PBEsol-relaxed geometry, as listed in Alexandria via LeMat-Bulk.

Computed properties:
E_form (uncorrected), kJ/mol of atoms: 170.9
Raw total energy, eV for the cell shown: -89.76
Space group: Pm-3m, No. 221
D(E_F), states/eV per atom: 1.30
Theoretical density, g/cm3: 3.391

Unit cell a=5.6579 b=5.6579 c=5.6579 alpha=90.00 beta=90.00 gamma=90.00
Element x y z (fractional)
Cs 0.0000 0.0000 0.0000
Ge 0.0000 0.5000 0.0000
Ge 0.0000 0.0000 0.5000
Ge 0.5000 0.0000 0.0000
F 0.5000 0.5000 0.5000